Record 1
First-principles (GGA-PBEsol) data for a relaxed structure of FeAsO2, as listed in the Alexandria database.

```
FeAsO2
1.0
-1.173 -2.332 -1.837
1.230 -0.519 -2.900
3.919 -4.749 0.754
O As Fe
2 1 1
Direct
0.896 0.896 0.312
0.104 0.104 0.688
0.500 0.500 0.500
0.000 0.000 0.000
```

## Properties
DOS(E_F) (states/eV/f.u.): 2.08
E_form (uncorrected) (meV per atom): -456
E (eV/cell): -26.4

Record 2
First-principles (GGA-PBEsol) data for a relaxed structure of Zn3Fe3As4O16, as listed in the Alexandria database.

```
Zn3Fe3As4O16
1.0
5.241 0.000 0.000
0.000 8.439 -0.138
0.000 -3.071 14.699
O Zn Fe As
32 6 6 8
Direct
0.060 0.441 0.249
0.171 0.527 0.429
0.829 0.473 0.571
0.251 0.529 0.102
0.742 0.070 0.598
0.751 0.971 0.398
0.084 0.762 0.010
0.249 0.029 0.602
0.416 0.262 0.510
0.242 0.430 0.902
0.896 0.806 0.659
0.329 0.027 0.929
0.940 0.559 0.751
0.093 0.820 0.206
0.258 0.930 0.402
0.396 0.694 0.841
0.332 0.622 0.626
0.916 0.238 0.990
0.832 0.878 0.874
0.440 0.941 0.749
0.668 0.378 0.374
0.604 0.306 0.159
0.407 0.320 0.706
0.584 0.738 0.490
0.168 0.122 0.126
0.671 0.973 0.071
0.749 0.471 0.898
0.907 0.180 0.794
0.560 0.059 0.251
0.593 0.680 0.294
0.758 0.570 0.098
0.104 0.194 0.341
0.917 0.999 0.276
0.500 0.500 0.500
0.417 0.501 0.224
0.583 0.499 0.776
0.000 0.000 0.000
0.083 0.001 0.724
0.041 0.654 0.879
0.959 0.346 0.121
0.541 0.846 0.621
0.000 0.000 0.500
0.459 0.154 0.379
0.500 0.500 0.000
0.472 0.190 0.606
0.508 0.894 0.855
0.492 0.106 0.145
0.992 0.394 0.355
0.972 0.310 0.894
0.008 0.606 0.645
0.028 0.690 0.106
0.528 0.810 0.394
```

## Properties
DOS(E_F) (states/eV/f.u.): 9.63
E_form (uncorrected) (meV per atom): -1143
E (eV/cell): -331.5

Record 3
First-principles (GGA-PBEsol) data for a relaxed structure of FeAsOs2, as listed in the Alexandria database.

```
FeAsOs2
1.0
2.794 0.000 0.000
1.397 2.420 0.000
1.397 0.807 8.066
Os Fe As
2 1 1
Direct
0.751 0.751 0.747
0.249 0.249 0.253
0.500 0.500 0.500
0.000 0.000 0.000
```

## Properties
DOS(E_F) (states/eV/f.u.): 4.59
Formation energy from the elements (eV/atom): 0.37
E (eV/cell): -37.0

Record 4
First-principles (GGA-PBEsol) data for a relaxed structure of FeAsPOs2, as listed in the Alexandria database.

```
FeAsPOs2
1.0
4.325 0.000 0.000
0.000 4.325 0.000
0.000 0.000 4.598
Os P Fe As
2 1 1 1
Direct
0.000 0.500 0.000
0.500 0.000 0.000
0.000 0.000 0.000
0.500 0.500 0.500
0.000 0.000 0.500
```

## Properties
DOS(E_F) (states/eV/f.u.): 6.01
Formation energy from the elements (eV/atom): 1.37
E (eV/cell): -37.5

Record 5
First-principles (GGA-PBEsol) data for a relaxed structure of FeAs2OsSe, as listed in the Alexandria database.

```
FeAs2OsSe
1.0
-1.181 2.031 -3.939
-4.392 0.004 1.319
0.686 4.797 2.268
Se As Fe Os
1 2 1 1
Direct
0.000 0.000 0.500
0.000 0.500 0.000
0.500 0.000 0.000
0.500 0.500 0.500
0.000 0.000 0.000
```

## Properties
DOS(E_F) (states/eV/f.u.): 8.31
E_form (uncorrected) (meV per atom): 1124
E (eV/cell): -29.6

Record 6
First-principles (GGA-PBEsol) data for a relaxed structure of FeAs2P, as listed in the Alexandria database.

```
FeAs2P
1.0
2.739 0.086 0.000
-0.089 2.739 0.000
0.000 0.000 8.151
As Fe P
2 1 1
Direct
0.000 0.000 0.811
0.000 0.000 0.189
0.500 0.500 0.000
0.500 0.500 0.500
```

## Properties
DOS(E_F) (states/eV/f.u.): 2.22
Formation energy from the elements (eV/atom): 0.24
E (eV/cell): -24.0

Record 7
First-principles (GGA-PBEsol) data for a relaxed structure of FeAsP2, as listed in the Alexandria database.

```
FeAsP2
1.0
5.194 0.000 0.000
0.000 5.194 0.000
-2.597 -2.597 5.141
As P Fe
2 4 2
Direct
0.000 0.000 0.000
0.250 0.750 0.500
0.828 0.375 0.250
0.625 0.578 0.750
0.422 0.875 0.250
0.125 0.172 0.750
0.750 0.250 0.500
0.500 0.500 0.000
```

## Properties
DOS(E_F) (states/eV/f.u.): 2.04
Formation energy from the elements (eV/atom): -0.01
E (eV/cell): -51.3

Record 8
First-principles (GGA-PBEsol) data for a relaxed structure of FeAsP2, as listed in the Alexandria database.

```
FeAsP2
1.0
-1.114 1.981 -1.836
-2.789 -2.758 -1.283
-2.878 1.397 3.254
Fe P As
1 2 1
Direct
0.000 0.500 0.500
0.500 0.500 0.000
0.000 0.000 0.000
0.500 0.000 0.500
```

## Properties
DOS(E_F) (states/eV/f.u.): 3.76
Formation energy from the elements (eV/atom): 0.47
E (eV/cell): -23.8

Record 9
First-principles (GGA-PBEsol) data for a relaxed structure of FeAsP2, as listed in the Alexandria database.

```
FeAsP2
1.0
-2.223 -0.769 -1.256
0.645 -2.494 -2.445
-1.597 -6.126 3.743
Fe P As
1 2 1
Direct
0.500 0.500 0.500
0.153 0.036 0.658
0.847 0.964 0.342
0.000 0.000 0.000
```

## Properties
DOS(E_F) (states/eV/f.u.): 1.95
Formation energy from the elements (eV/atom): -0.08
E (eV/cell): -26.0

Record 10
First-principles (GGA-PBEsol) data for a relaxed structure of FeAs2P, as listed in the Alexandria database.

```
FeAs2P
1.0
4.349 0.000 0.000
2.175 3.767 0.000
2.175 1.256 3.551
Fe As P
1 2 1
Direct
0.500 0.500 0.500
0.000 0.000 0.000
0.750 0.750 0.750
0.250 0.250 0.250
```

## Properties
DOS(E_F) (states/eV/f.u.): 2.65
Formation energy from the elements (eV/atom): 0.47
E (eV/cell): -23.1

Record 11
First-principles (GGA-PBEsol) data for a relaxed structure of FeAs2P, as listed in the Alexandria database.

```
FeAs2P
1.0
-1.169 1.033 2.239
-1.499 -4.282 1.194
3.965 -0.719 2.402
Fe As P
1 2 1
Direct
0.500 0.500 0.500
0.000 0.500 0.000
0.000 0.000 0.500
0.500 0.000 0.000
```

## Properties
DOS(E_F) (states/eV/f.u.): 3.78
Formation energy from the elements (eV/atom): 0.47
E (eV/cell): -23.1

Record 12
First-principles (GGA-PBEsol) data for a relaxed structure of FeAsP3, as listed in the Alexandria database.

```
FeAsP3
1.0
-3.573 2.209 0.876
-0.547 -2.305 3.578
2.312 2.867 2.201
P Fe As
3 1 1
Direct
0.000 0.000 0.500
0.500 0.000 0.000
0.000 0.500 0.000
0.000 0.000 0.000
0.500 0.500 0.500
```

## Properties
DOS(E_F) (states/eV/f.u.): 3.49
Formation energy from the elements (eV/atom): 0.47
E (eV/cell): -29.1